PdRuRh2: optimized geometry, PBE.

Summary:
Raw total energy ... -26.96 eV per formula unit
Energy of formation from the pure elements ... 0.554 eV/atom

Lattice parameters (Å, degrees): 5.583 5.583 5.583 103.48 103.48 122.27
Fractional coordinates of all 8 atoms:
Pd  0.000  0.000  0.000
Pd  0.750  0.250  0.500
Ru  0.250  0.750  0.500
Ru  0.500  0.500  0.000
Rh  0.153  0.625  0.028
Rh  0.375  0.403  0.528
Rh  0.597  0.125  0.972
Rh  0.875  0.847  0.472